(1)
DFT (PBE) results for crystalline LaYP at its relaxed geometry.

- energy relative to the lowest polymorph listed for this composition (meV per atom) = 36
- electronic total energy (eV per atom) = -6.562
- formation energy (eV per atom) = -0.96
- mass density (g/cm³) = 4.6
- space-group type = P3m1
- calculated volume (Å³/cell) = 93.45

abc: 4.001 4.001 6.742
angles: 90.00 90.00 120.00
Site moments in Bohr magnetons follow the coordinates.
Atoms (fractional coordinates):
La 0.000 0.000 0.086  0.12
Y 0.333 0.667 0.569  0.16
P 0.667 0.333 0.344  -0.01

(2)
DFT (PBE) results for crystalline Cr2BH at its relaxed geometry.

- energy relative to the lowest polymorph listed for this composition (meV per atom) = 184
- electronic total energy (eV per atom) = -7.027
- mass density (g/cm³) = 5.9
- space-group type = Fm-3m
- calculated volume (Å³/cell) = 32.43

abc: 3.579 3.579 3.579
angles: 60.00 60.00 60.00
Site moments in Bohr magnetons follow the coordinates.
Atoms (fractional coordinates):
H 0.000 0.000 0.000  0.00
Cr 0.750 0.750 0.750  0.66
Cr 0.250 0.250 0.250  0.66
B 0.500 0.500 0.500  -0.03

(3)
DFT (PBE) results for crystalline Mg4InSn5 at its relaxed geometry.

- electronic total energy (eV per atom) = -3.007
- formation energy (eV per atom) = -0.09
- mass density (g/cm³) = 5.4
- space-group type = P4/mmm
- calculated volume (Å³/cell) = 248.66

abc: 3.409 3.409 21.392
angles: 90.00 90.00 90.00
Atoms (fractional coordinates):
Sn 0.500 0.500 0.500
Sn 0.500 0.500 0.305
Sn 0.500 0.500 0.695
Sn 0.500 0.500 0.888
Sn 0.500 0.500 0.112
Mg 0.000 0.000 0.403
Mg 0.000 0.000 0.792
Mg 0.000 0.000 0.208
Mg 0.000 0.000 0.597
In 0.000 0.000 0.000

(4)
DFT (PBE) results for crystalline LiY2Tc at its relaxed geometry.

- electronic total energy (eV per atom) = -6.315
- formation energy (eV per atom) = -0.01
- mass density (g/cm³) = 4.9
- space-group type = P2/m
- calculated volume (Å³/cell) = 95.49

abc: 3.493 3.495 8.578
angles: 65.78 90.00 90.00
Atoms (fractional coordinates):
Tc 0.500 0.750 0.750
Y 0.000 0.043 0.957
Y 0.000 0.457 0.543
Li 0.500 0.250 0.250

(5)
DFT (PBE) results for crystalline NdDy4Al at its relaxed geometry.

- energy relative to the lowest polymorph listed for this composition (meV per atom) = 0
- electronic total energy (eV per atom) = -4.602
- formation energy (eV per atom) = -0.12
- mass density (g/cm³) = 7.7
- space-group type = P4/mmm
- calculated volume (Å³/cell) = 177.92

abc: 3.569 3.569 13.970
angles: 90.00 90.00 90.00
Atoms (fractional coordinates):
Dy 0.000 0.000 0.634
Dy 0.500 0.500 0.816
Dy 0.500 0.500 0.184
Dy 0.000 0.000 0.366
Nd 0.000 0.000 0.000
Al 0.500 0.500 0.500

(6)
DFT (PBE) results for crystalline Tm11Hg9Pt4 at its relaxed geometry.

- electronic total energy (eV per atom) = -3.933
- formation energy (eV per atom) = -0.76
- mass density (g/cm³) = 13.1
- space-group type = Cmmm
- calculated volume (Å³/cell) = 562.06

abc: 3.611 13.018 13.018
angles: 113.31 90.00 90.00
Atoms (fractional coordinates):
Tm 0.000 0.294 0.294
Tm 0.000 0.166 0.834
Tm 0.000 0.634 0.366
Tm 0.000 0.415 0.079
Tm 0.000 0.000 0.000
Tm 0.000 0.834 0.166
Tm 0.000 0.079 0.415
Tm 0.000 0.366 0.634
Tm 0.000 0.585 0.921
Tm 0.000 0.706 0.706
Tm 0.000 0.921 0.585
Hg 0.500 0.853 0.368
Hg 0.500 0.942 0.790
Hg 0.500 0.500 0.500
Hg 0.500 0.632 0.147
Hg 0.500 0.147 0.632
Hg 0.500 0.058 0.210
Hg 0.500 0.210 0.058
Hg 0.500 0.368 0.853
Hg 0.500 0.790 0.942
Pt 0.500 0.254 0.449
Pt 0.500 0.449 0.254
Pt 0.500 0.746 0.551
Pt 0.500 0.551 0.746

Question: What is the mass density in the sixth record?
Answer: 13.1 g/cm³

Question: Among the records above, which one has the highest mass density?
Answer: Tm11Hg9Pt4

Copy entry 4 word for word.
DFT (PBE) results for crystalline LiY2Tc at its relaxed geometry.

- electronic total energy (eV per atom) = -6.315
- formation energy (eV per atom) = -0.01
- mass density (g/cm³) = 4.9
- space-group type = P2/m
- calculated volume (Å³/cell) = 95.49

abc: 3.493 3.495 8.578
angles: 65.78 90.00 90.00
Atoms (fractional coordinates):
Tc 0.500 0.750 0.750
Y 0.000 0.043 0.957
Y 0.000 0.457 0.543
Li 0.500 0.250 0.250